Record 1
Material: La2Nd6Sm3In
Method: DFT, PBE
State: relaxed

The structure in CIF format:
```
data_La2Nd6Sm3In
_chemical_formula_sum 'La4 Nd12 Sm6 In2'
_symmetry_space_group_name_H-M 'C 1 2/m 1'
_symmetry_Int_Tables_number 12
_cell_length_a 6.2699
_cell_length_b 10.8764
_cell_length_c 12.0641
_cell_angle_alpha 90.00
_cell_angle_beta 100.10
_cell_angle_gamma 90.00
loop_
_symmetry_equiv_pos_as_xyz
'x,y,z'
'-x,-y,-z'
'-x,y,-z'
'x,-y,z'
'x+1/2,y+1/2,z'
'-x+1/2,-y+1/2,-z'
'-x+1/2,y+1/2,-z'
'x+1/2,-y+1/2,z'
loop_
_atom_site_label
_atom_site_fract_x
_atom_site_fract_y
_atom_site_fract_z
_atom_site_occupancy
La1 0.0000 0.1663 0.0000 1
Nd1 0.2408 0.5000 0.7497 1
Nd2 0.2448 0.3379 0.2490 1
Sm1 0.0000 0.0000 0.5000 1
Sm2 0.0000 0.3318 0.5000 1
In1 0.0000 0.5000 0.0000 1
```

Values from the calculation:
For the total magnetization, the calculation gives 0.00 μB/atom. As for the formation energy: -62 meV/atom.


Record 2
Material: GeRh2N
Method: DFT, PBE
State: relaxed

The structure in CIF format:
```
data_GeRh2N
_chemical_formula_sum 'Ge4 Rh8 N4'
_symmetry_space_group_name_H-M 'I -4 2 d'
_symmetry_Int_Tables_number 122
_symmetry_space_group_name_Hall 'I -4 2bw'
_cell_length_a 5.0105
_cell_length_b 5.0105
_cell_length_c 10.1838
_cell_angle_alpha 90.00
_cell_angle_beta 90.00
_cell_angle_gamma 90.00
loop_
_atom_site_label
_atom_site_fract_x
_atom_site_fract_y
_atom_site_fract_z
_atom_site_occupancy
Ge1 0.0000 0.0000 0.0000 1
Rh1 0.1631 0.2500 0.6250 1
N1 0.0000 0.0000 0.5000 1
```

Values from the calculation:
For the total magnetization, the calculation gives 0.00 μB/atom. As for the uncorrected formation energy: 124 meV/atom. The value obtained for the polymorph energy (0 for the lowest one) is 0.000 eV per atom.


Record 3
Material: PdRu3C
Method: DFT, PBE
State: relaxed

The structure in CIF format:
```
data_PdRu3C
_chemical_formula_sum 'Pd1 Ru3 C1'
_symmetry_space_group_name_H-M 'P m -3 m'
_symmetry_Int_Tables_number 221
_symmetry_space_group_name_Hall '-P 4 2 3'
_cell_length_a 4.0356
_cell_length_b 4.0356
_cell_length_c 4.0356
_cell_angle_alpha 90.00
_cell_angle_beta 90.00
_cell_angle_gamma 90.00
loop_
_atom_site_label
_atom_site_fract_x
_atom_site_fract_y
_atom_site_fract_z
_atom_site_occupancy
Pd1 0.0000 0.0000 0.0000 1
Ru1 0.0000 0.5000 0.5000 1
C1 0.5000 0.5000 0.5000 1
```

Values from the calculation:
For the total magnetization, the calculation gives 0.00 μB/atom. As for the formation energy: 331 meV/atom. The value obtained for the polymorph energy (0 for the lowest one) is 0.000 eV per atom.